Here is a geometry-optimized TaGaW2 structure from the Open Quantum Materials Database. Energies are from PBE.

Cell and atoms, written as CIF:
```
data_TaGaW2
_chemical_formula_sum 'Ta1 Ga1 W2'
_space_group_name_H-M_alt 'P 1'
_space_group_IT_number 1
_cell_length_a 4.524
_cell_length_b 4.524
_cell_length_c 4.524
_cell_angle_alpha 60.00
_cell_angle_beta 60.00
_cell_angle_gamma 60.00
loop_
_space_group_symop_operation_xyz
'x,y,z'
loop_
_atom_site_label
_atom_site_fract_x
_atom_site_fract_y
_atom_site_fract_z
W1 0.000 0.000 0.000
W2 0.750 0.750 0.750
Ta1 0.250 0.250 0.250
Ga1 0.500 0.500 0.500
```

Symmetry: No. 216
Energy (eV per cell): -40.02

Here is a geometry-optimized NaLiTh structure from the Open Quantum Materials Database. Energies are from PBE.

Cell and atoms, written as CIF:
```
data_NaLiTh
_chemical_formula_sum 'Na1 Li1 Th1'
_space_group_name_H-M_alt 'P 1'
_space_group_IT_number 1
_cell_length_a 5.079
_cell_length_b 5.079
_cell_length_c 5.079
_cell_angle_alpha 60.00
_cell_angle_beta 60.00
_cell_angle_gamma 60.00
loop_
_space_group_symop_operation_xyz
'x,y,z'
loop_
_atom_site_label
_atom_site_fract_x
_atom_site_fract_y
_atom_site_fract_z
Li1 0.250 0.250 0.250
Na1 0.000 0.000 0.000
Th1 0.750 0.750 0.750
```

Symmetry: No. 216
Energy (eV per cell): -7.28

Here is a geometry-optimized DySbI6 structure from the Open Quantum Materials Database. Energies are from PBE.

Cell and atoms, written as CIF:
```
data_DySbI6
_chemical_formula_sum 'Dy1 Sb1 I6'
_space_group_name_H-M_alt 'P 1'
_space_group_IT_number 1
_cell_length_a 7.664
_cell_length_b 7.664
_cell_length_c 7.624
_cell_angle_alpha 99.40
_cell_angle_beta 99.40
_cell_angle_gamma 120.17
loop_
_space_group_symop_operation_xyz
'x,y,z'
loop_
_atom_site_label
_atom_site_fract_x
_atom_site_fract_y
_atom_site_fract_z
I1 0.072 0.422 0.758
I2 0.422 0.072 0.758
I3 0.226 0.226 0.247
I4 0.928 0.578 0.242
I5 0.578 0.928 0.242
I6 0.774 0.774 0.753
Dy1 0.834 0.166 0.000
Sb1 0.166 0.834 0.000
```

Symmetry: No. 5
Energy (eV per cell): -24.98

Here is a geometry-optimized TbGd2Al7Ag2 structure from the Open Quantum Materials Database. Energies are from PBE.

Cell and atoms, written as CIF:
```
data_TbGd2Al7Ag2
_chemical_formula_sum 'Tb1 Gd2 Al7 Ag2'
_space_group_name_H-M_alt 'P 1'
_space_group_IT_number 1
_cell_length_a 9.369
_cell_length_b 9.369
_cell_length_c 9.369
_cell_angle_alpha 34.57
_cell_angle_beta 34.57
_cell_angle_gamma 34.57
loop_
_space_group_symop_operation_xyz
'x,y,z'
loop_
_atom_site_label
_atom_site_fract_x
_atom_site_fract_y
_atom_site_fract_z
Al1 0.500 0.500 0.500
Al2 0.076 0.587 0.587
Al3 0.587 0.587 0.076
Al4 0.587 0.076 0.587
Al5 0.413 0.924 0.413
Al6 0.924 0.413 0.413
Al7 0.413 0.413 0.924
Ag1 0.664 0.664 0.664
Ag2 0.336 0.336 0.336
Gd1 0.858 0.858 0.858
Gd2 0.142 0.142 0.142
Tb1 0.000 0.000 0.000
```

Symmetry: No. 166
Energy (eV per cell): -51.34

Here is a geometry-optimized GaCuPd structure from the Open Quantum Materials Database. Energies are from PBE.

Cell and atoms, written as CIF:
```
data_GaCuPd
_chemical_formula_sum 'Ga1 Cu1 Pd1'
_space_group_name_H-M_alt 'P 1'
_space_group_IT_number 1
_cell_length_a 4.156
_cell_length_b 4.156
_cell_length_c 4.156
_cell_angle_alpha 60.00
_cell_angle_beta 60.00
_cell_angle_gamma 60.00
loop_
_space_group_symop_operation_xyz
'x,y,z'
loop_
_atom_site_label
_atom_site_fract_x
_atom_site_fract_y
_atom_site_fract_z
Pd1 0.000 0.000 0.000
Cu1 0.250 0.250 0.250
Ga1 0.750 0.750 0.750
```

Symmetry: No. 216
Energy (eV per cell): -12.40

Here is a geometry-optimized DySb structure from the Open Quantum Materials Database. Energies are from PBE.

Cell and atoms, written as CIF:
```
data_DySb
_chemical_formula_sum 'Dy1 Sb1'
_space_group_name_H-M_alt 'P 1'
_space_group_IT_number 1
_cell_length_a 4.909
_cell_length_b 4.909
_cell_length_c 4.909
_cell_angle_alpha 60.00
_cell_angle_beta 60.00
_cell_angle_gamma 60.00
loop_
_space_group_symop_operation_xyz
'x,y,z'
loop_
_atom_site_label
_atom_site_fract_x
_atom_site_fract_y
_atom_site_fract_z
Sb1 0.250 0.250 0.250
Dy1 0.000 0.000 0.000
```

Symmetry: No. 216
Energy (eV per cell): -9.90